one:
The following is a PBE calculation of an optimized crystal structure of NaAcHg2, from Alexandria.

The structure in POSCAR format:
```
NaAcHg2
1.0
-2.414 1.346 2.688
2.683 -3.014 3.918
3.469 4.324 0.951
Hg Na Ac
2 1 1
Direct
0.000 0.000 0.500
0.000 0.500 0.000
0.500 0.500 0.500
0.500 0.000 0.000
```

***

two:
The following is a PBE calculation of an optimized crystal structure of NaAcHg2, from Alexandria.

The structure in POSCAR format:
```
NaAcHg2
1.0
5.494 0.000 0.000
2.747 4.758 0.000
2.747 1.586 4.486
Hg Ac Na
2 1 1
Direct
0.250 0.250 0.250
0.750 0.750 0.750
0.500 0.500 0.500
0.000 0.000 0.000
```

***

What should be chosen as the most stable of them? Choose two.

***

one:
The following is a PBE calculation of an optimized crystal structure of NaAc2Hg3, from Alexandria.

The structure in POSCAR format:
```
NaAc2Hg3
1.0
5.581 0.000 0.000
-2.791 4.834 0.000
0.000 0.000 13.753
Ac Na Hg
4 2 6
Direct
0.000 0.000 0.000
0.333 0.667 0.181
0.667 0.333 0.819
0.000 0.000 0.500
0.667 0.333 0.337
0.333 0.667 0.663
0.667 0.333 0.576
0.000 0.000 0.255
0.333 0.667 0.424
0.000 0.000 0.745
0.333 0.667 0.913
0.667 0.333 0.087
```

***

two:
The following is a PBE calculation of an optimized crystal structure of NaAc2Hg3, from Alexandria.

The structure in POSCAR format:
```
NaAc2Hg3
1.0
6.418 -0.916 0.000
-1.165 6.378 0.000
-2.627 -2.731 9.085
Na Ac Hg
2 4 6
Direct
0.333 0.333 0.667
0.667 0.667 0.333
0.244 0.244 0.000
0.750 0.250 0.500
0.756 0.756 0.000
0.250 0.750 0.500
0.829 0.340 0.169
0.660 0.171 0.831
0.340 0.829 0.169
0.831 0.831 0.663
0.169 0.169 0.337
0.171 0.660 0.831
```

***

What should be chosen as the most stable of them? Choose one.

***

one:
The following is a PBE calculation of an optimized crystal structure of AcNdHg, from Alexandria.

The structure in POSCAR format:
```
AcNdHg
1.0
-3.543 0.789 -1.130
-1.372 -2.313 2.687
1.942 12.275 8.870
Ac Hg Nd
2 2 2
Direct
0.350 0.350 0.701
0.650 0.650 0.299
0.221 0.221 0.442
0.779 0.779 0.558
0.943 0.943 0.886
0.057 0.057 0.114
```

***

two:
The following is a PBE calculation of an optimized crystal structure of AcNdHg, from Alexandria.

The structure in POSCAR format:
```
AcNdHg
1.0
4.151 0.000 0.000
0.000 5.406 0.000
0.000 -2.703 4.682
Hg Ac Nd
1 1 1
Direct
0.498 0.333 0.667
0.001 0.000 0.000
0.502 0.667 0.333
```

***

three:
The following is a PBE calculation of an optimized crystal structure of AcNdHg, from Alexandria.

The structure in POSCAR format:
```
AcNdHg
1.0
5.426 0.000 0.000
2.713 4.699 0.000
2.713 1.566 4.431
Nd Hg Ac
1 1 1
Direct
0.000 0.000 0.000
0.250 0.250 0.250
0.500 0.500 0.500
```

***

What should be chosen as the most stable of them? Choose two.

***

one:
The following is a PBE calculation of an optimized crystal structure of AcNdHg, from Alexandria.

The structure in POSCAR format:
```
AcNdHg
1.0
5.059 -0.244 -0.054
0.243 5.059 -0.055
0.088 0.081 8.157
Hg Ac Nd
2 2 2
Direct
0.313 0.366 0.676
0.814 0.867 0.163
0.314 0.367 0.285
0.814 0.866 0.554
0.314 0.866 0.920
0.814 0.367 0.920
```

***

two:
The following is a PBE calculation of an optimized crystal structure of AcNdHg, from Alexandria.

The structure in POSCAR format:
```
AcNdHg
1.0
-3.531 1.521 0.811
-1.545 -1.971 -3.029
1.248 -4.895 5.098
Ac Nd Hg
1 1 1
Direct
0.295 0.295 0.590
0.593 0.593 0.186
0.962 0.962 0.924
```

***

What should be chosen as the most stable of them? Choose one.

***

one:
The following is a PBE calculation of an optimized crystal structure of Ac4NdHg, from Alexandria.

The structure in POSCAR format:
```
Ac4NdHg
1.0
-0.252 3.837 1.014
-3.611 -0.643 1.536
6.191 -3.100 13.264
Ac Nd Hg
4 1 1
Direct
0.500 0.500 0.172
0.500 0.500 0.828
0.000 0.000 0.638
0.000 0.000 0.362
0.000 0.000 0.000
0.500 0.500 0.500
```

***

two:
The following is a PBE calculation of an optimized crystal structure of Ac4NdHg, from Alexandria.

The structure in POSCAR format:
```
Ac4NdHg
1.0
-2.991 -4.775 -1.022
4.861 -3.027 -0.084
-0.660 -1.290 7.942
Hg Nd Ac
1 1 4
Direct
0.001 0.997 0.498
0.501 0.497 0.998
0.501 0.997 0.257
0.001 0.497 0.257
0.001 0.498 0.739
0.501 0.998 0.739
```

***

What should be chosen as the most stable of them? Choose one.

***

one:
The following is a PBE calculation of an optimized crystal structure of Ac2Nd2Hg, from Alexandria.

The structure in POSCAR format:
```
Ac2Nd2Hg
1.0
3.881 0.000 -0.623
-0.100 3.880 -0.623
-0.033 -0.034 12.201
Ac Hg Nd
2 1 2
Direct
0.588 0.588 0.175
0.412 0.412 0.825
0.000 0.000 0.000
0.800 0.800 0.600
0.200 0.200 0.400
```

***

two:
The following is a PBE calculation of an optimized crystal structure of Ac2Nd2Hg, from Alexandria.

The structure in POSCAR format:
```
Ac2Nd2Hg
1.0
8.646 0.000 0.660
4.323 5.256 0.330
4.374 0.000 8.426
Ac Nd Hg
4 4 2
Direct
0.041 0.618 0.729
0.341 0.618 0.271
0.659 0.382 0.729
0.959 0.382 0.271
0.606 0.000 0.120
0.394 0.000 0.880
0.728 0.000 0.426
0.272 0.000 0.574
0.854 0.292 0.000
0.146 0.708 0.000
```

***

What should be chosen as the most stable of them? Choose one.

***

one:
The following is a PBE calculation of an optimized crystal structure of Ac3NdHg2, from Alexandria.

The structure in POSCAR format:
```
Ac3NdHg2
1.0
-3.003 2.371 -6.944
-5.795 -5.523 0.620
-0.045 6.649 6.816
Ac Hg Nd
6 4 2
Direct
0.500 0.750 0.000
0.500 0.250 0.000
0.227 0.977 0.453
0.773 0.523 0.547
0.773 0.023 0.547
0.227 0.477 0.453
0.428 0.636 0.273
0.845 0.136 0.273
0.572 0.364 0.727
0.155 0.864 0.727
0.000 0.500 0.000
0.000 0.000 0.000
```

***

two:
The following is a PBE calculation of an optimized crystal structure of Ac3NdHg2, from Alexandria.

The structure in POSCAR format:
```
Ac3NdHg2
1.0
-3.714 -0.186 1.479
1.483 -0.062 3.717
-0.503 13.411 0.426
Ac Hg Nd
3 2 1
Direct
0.000 0.000 0.306
0.000 0.000 0.000
0.000 0.000 0.694
0.500 0.500 0.156
0.500 0.500 0.844
0.500 0.500 0.500
```

***

What should be chosen as the most stable of them? Choose two.

***

one:
The following is a PBE calculation of an optimized crystal structure of AcNd2Hg6, from Alexandria.

The structure in POSCAR format:
```
AcNd2Hg6
1.0
3.843 0.000 0.000
1.922 8.707 1.118
1.922 3.571 8.019
Hg Ac Nd
6 1 2
Direct
0.174 0.148 0.504
0.826 0.852 0.496
0.000 0.171 0.829
0.826 0.496 0.852
0.174 0.504 0.148
0.000 0.829 0.171
0.500 0.500 0.500
0.646 0.854 0.854
0.354 0.146 0.146
```

***

two:
The following is a PBE calculation of an optimized crystal structure of AcNd2Hg6, from Alexandria.

The structure in POSCAR format:
```
AcNd2Hg6
1.0
-1.078 -3.413 0.703
-4.774 -0.012 -7.383
8.371 -2.681 -0.174
Hg Nd Ac
6 2 1
Direct
0.500 0.337 0.000
0.500 0.663 0.000
0.500 0.337 0.337
0.500 0.000 0.663
0.500 0.000 0.337
0.500 0.663 0.663
0.000 0.667 0.333
0.000 0.333 0.667
0.000 0.000 0.000
```

***

What should be chosen as the most stable of them? Choose two.

***

one:
The following is a PBE calculation of an optimized crystal structure of AcNd3Hg2, from Alexandria.

The structure in POSCAR format:
```
AcNd3Hg2
1.0
3.846 0.000 0.000
0.000 3.846 0.000
0.000 0.000 12.907
Nd Ac Hg
3 1 2
Direct
0.000 0.000 0.295
0.000 0.000 0.705
0.000 0.000 0.000
0.500 0.500 0.500
0.500 0.500 0.149
0.500 0.500 0.851
```

***

two:
The following is a PBE calculation of an optimized crystal structure of AcNd3Hg2, from Alexandria.

The structure in POSCAR format:
```
AcNd3Hg2
1.0
5.548 0.000 0.000
-2.774 9.429 -0.617
0.000 -4.819 7.806
Ac Hg Nd
2 4 6
Direct
0.129 0.257 0.069
0.871 0.743 0.931
0.774 0.548 0.154
0.226 0.452 0.846
0.499 0.998 0.161
0.501 0.002 0.839
0.302 0.603 0.607
0.698 0.397 0.393
0.065 0.130 0.409
0.935 0.870 0.591
0.380 0.760 0.286
0.620 0.240 0.714
```

***

What should be chosen as the most stable of them? Choose one.

***

one:
The following is a PBE calculation of an optimized crystal structure of AcNd6Hg2, from Alexandria.

The structure in POSCAR format:
```
AcNd6Hg2
1.0
5.773 -0.195 -0.189
1.336 10.340 1.921
1.336 2.255 10.272
Nd Ac Hg
12 2 4
Direct
0.899 0.482 0.670
0.665 0.125 0.349
0.835 0.651 0.875
0.790 0.996 0.784
0.290 0.784 0.996
0.601 0.330 0.518
0.210 0.004 0.216
0.710 0.216 0.004
0.165 0.349 0.125
0.101 0.518 0.330
0.399 0.670 0.482
0.335 0.875 0.651
0.750 0.814 0.186
0.250 0.186 0.814
0.122 0.185 0.476
0.622 0.476 0.185
0.378 0.524 0.815
0.878 0.815 0.524
```

***

two:
The following is a PBE calculation of an optimized crystal structure of AcNd6Hg2, from Alexandria.

The structure in POSCAR format:
```
AcNd6Hg2
1.0
-3.230 2.072 -0.596
-2.557 -2.082 -6.031
-8.302 -8.465 2.917
Nd Ac Hg
6 1 2
Direct
0.689 0.495 0.127
0.983 0.697 0.338
0.311 0.505 0.873
0.687 0.210 0.416
0.017 0.303 0.662
0.313 0.790 0.584
0.000 0.000 0.000
0.348 0.084 0.220
0.652 0.916 0.780
```

***

What should be chosen as the most stable of them? Choose two.

***

one:
The following is a PBE calculation of an optimized crystal structure of AcNdSnHg, from Alexandria.

The structure in POSCAR format:
```
AcNdSnHg
1.0
4.628 0.000 0.000
0.000 4.584 0.000
-2.314 0.000 6.161
Ac Hg Sn Nd
1 1 1 1
Direct
0.858 0.500 0.716
0.420 0.000 0.840
0.584 0.500 0.169
0.138 0.000 0.275
```

***

two:
The following is a PBE calculation of an optimized crystal structure of AcNdSnHg, from Alexandria.

The structure in POSCAR format:
```
AcNdSnHg
1.0
5.614 0.000 0.000
2.807 4.862 0.000
2.807 1.621 4.584
Nd Sn Ac Hg
1 1 1 1
Direct
0.500 0.500 0.500
0.250 0.250 0.250
0.000 0.000 0.000
0.750 0.750 0.750
```

***

What should be chosen as the most stable of them? Choose one.

***

one:
The following is a PBE calculation of an optimized crystal structure of AcNdZnHg, from Alexandria.

The structure in POSCAR format:
```
AcNdZnHg
1.0
5.493 0.000 0.000
2.747 4.757 0.000
2.747 1.586 4.485
Hg Ac Nd Zn
1 1 1 1
Direct
0.500 0.500 0.500
0.750 0.750 0.750
0.250 0.250 0.250
0.000 0.000 0.000
```

***

two:
The following is a PBE calculation of an optimized crystal structure of AcNdZnHg, from Alexandria.

The structure in POSCAR format:
```
AcNdZnHg
1.0
3.860 0.000 0.000
0.000 3.860 0.000
0.000 0.000 7.761
Ac Nd Zn Hg
1 1 1 1
Direct
0.500 0.500 0.122
0.500 0.500 0.591
0.000 0.000 0.380
0.000 0.000 0.835
```

***

What should be chosen as the most stable of them? Choose two.